The following is a GGA-PBE calculation of a relaxed structure of Li4TcGeO6, from the Open Quantum Materials Database.

Space group   C2 (5)
Uncorrected energy   -6.186 eV/atom

Unit cell a=5.086 b=5.086 c=5.061 alpha=99.78 beta=99.78 gamma=119.93
Last column: magnetic moment on the atom in μB.
Sites, in units of the cell vectors:
O1 0.593 0.937 0.228  0.07
O2 0.063 0.407 0.772  0.07
O3 0.923 0.563 0.231  0.07
O4 0.437 0.077 0.769  0.07
O5 0.218 0.233 0.233  0.07
O6 0.767 0.782 0.767  0.07
Tc1 0.167 0.833 0.000  2.28
Li1 0.997 0.003 0.500  0.00
Li2 0.341 0.659 0.500  0.00
Li3 0.500 0.500 0.000  0.00
Li4 0.661 0.339 0.500  0.00
Ge1 0.833 0.167 0.000  0.05

=====

The following is a GGA-PBE calculation of a relaxed structure of RbSrSmTe3, from the Open Quantum Materials Database.

Space group   C2/m (12)
Uncorrected energy   -4.181 eV/atom

Unit cell a=10.554 b=10.554 c=12.878 alpha=118.31 beta=118.31 gamma=25.11
Sites, in units of the cell vectors:
Te1 0.342 0.342 0.614
Te2 0.500 0.500 0.000
Te3 0.285 0.285 0.242
Te4 0.000 0.000 0.500
Te5 0.715 0.715 0.758
Te6 0.658 0.658 0.386
Sr1 0.883 0.883 0.823
Sr2 0.117 0.117 0.177
Sm1 0.169 0.169 0.572
Sm2 0.831 0.831 0.428
Rb1 0.457 0.457 0.255
Rb2 0.543 0.543 0.745

=====

The following is a GGA-PBE calculation of a relaxed structure of PrHoMg2Au4, from the Open Quantum Materials Database.

Space group   P4/mmm (123)
Uncorrected energy   -3.939 eV/atom

Unit cell a=4.956 b=4.956 c=7.007 alpha=90.00 beta=90.00 gamma=90.00
Sites, in units of the cell vectors:
Pr1 0.500 0.500 0.000
Au1 0.500 0.000 0.736
Au2 0.000 0.500 0.736
Au3 0.000 0.500 0.264
Au4 0.500 0.000 0.264
Mg1 0.500 0.500 0.500
Mg2 0.000 0.000 0.000
Ho1 0.000 0.000 0.500

=====

The following is a GGA-PBE calculation of a relaxed structure of Rb4PuSiSe6, from the Open Quantum Materials Database.

Space group   P1 (1)
Uncorrected energy   -4.737 eV/atom

Unit cell a=7.295 b=8.144 c=9.329 alpha=73.54 beta=67.99 gamma=64.14
Last column: magnetic moment on the atom in μB.
Sites, in units of the cell vectors:
Si1 0.876 0.559 0.684  0.00
Se1 0.887 0.336 0.892  -0.02
Se2 0.326 0.097 0.271  -0.15
Se3 0.703 0.858 0.718  -0.03
Se4 0.231 0.524 0.534  -0.09
Se5 0.723 0.503 0.527  -0.09
Se6 0.113 0.703 0.071  -0.17
Rb1 0.418 0.297 0.869  0.00
Rb2 0.185 0.934 0.685  0.00
Rb3 0.824 0.047 0.318  0.00
Rb4 0.595 0.698 0.112  0.00
Pu1 0.119 0.446 0.321  4.71

=====

The following is a GGA-PBE calculation of a relaxed structure of CuAg3, from the Open Quantum Materials Database.

Space group   Pmmm (47)
Formation energy   0.069 eV per atom

Unit cell a=2.873 b=3.969 c=5.766 alpha=90.00 beta=90.00 gamma=90.00
Sites, in units of the cell vectors:
Ag1 0.500 0.500 0.239
Ag2 0.500 0.500 0.761
Ag3 0.000 0.000 0.500
Cu1 0.000 0.000 0.000

=====

The following is a GGA-PBE calculation of a relaxed structure of K5Sb2Pt, from the Open Quantum Materials Database.

Space group   R-3m (166)
Uncorrected energy   -2.885 eV/atom

Unit cell a=10.199 b=10.199 c=10.199 alpha=33.81 beta=33.81 gamma=33.81
Last column: magnetic moment on the atom in μB.
Sites, in units of the cell vectors:
K1 0.219 0.219 0.219  0.01
K2 0.781 0.781 0.781  0.01
K3 0.500 0.500 0.500  0.01
K4 0.638 0.638 0.638  0.00
K5 0.362 0.362 0.362  0.00
Pt1 0.000 0.000 0.000  0.24
Sb1 0.910 0.910 0.910  0.09
Sb2 0.090 0.090 0.090  0.09

=====

The following is a GGA-PBE calculation of a relaxed structure of TaReAsAu, from the Open Quantum Materials Database.

Space group   F-43m (216)
Relative energy among the computed polymorphs   0 meV per atom

Unit cell a=4.516 b=4.516 c=4.516 alpha=60.00 beta=60.00 gamma=60.00
Sites, in units of the cell vectors:
Ta1 0.000 0.000 0.000
Au1 0.750 0.750 0.750
Re1 0.500 0.500 0.500
As1 0.250 0.250 0.250

=====

The following is a GGA-PBE calculation of a relaxed structure of Sr2In4IrAu, from the Open Quantum Materials Database.

Space group   Amm2 (38)
Uncorrected energy   -3.776 eV/atom

Unit cell a=8.030 b=5.989 c=5.989 alpha=44.53 beta=90.00 gamma=90.00
Sites, in units of the cell vectors:
Au1 0.000 0.221 0.221
In1 0.795 0.649 0.649
In2 0.205 0.649 0.649
In3 0.689 0.350 0.350
In4 0.311 0.350 0.350
Sr1 0.500 0.062 0.062
Sr2 0.000 0.937 0.937
Ir1 0.500 0.782 0.782

=====

The following is a GGA-PBE calculation of a relaxed structure of Hf4Mo2S3N3, from the Open Quantum Materials Database.

Space group   C2/c (15)
Uncorrected energy   -9.367 eV/atom

Unit cell a=5.704 b=5.704 c=12.212 alpha=102.55 beta=102.55 gamma=60.11
Sites, in units of the cell vectors:
Mo1 0.587 0.470 0.900
Mo2 0.530 0.413 0.600
Mo3 0.470 0.587 0.400
Mo4 0.413 0.530 0.100
N1 0.500 0.000 0.500
N2 0.141 0.679 0.500
N3 0.000 0.500 0.000
N4 0.859 0.321 0.500
N5 0.321 0.859 0.000
N6 0.679 0.141 0.000
S1 0.418 0.254 0.242
S2 0.254 0.418 0.742
S3 0.100 0.900 0.250
S4 0.900 0.100 0.750
S5 0.582 0.746 0.758
S6 0.746 0.582 0.258
Hf1 0.777 0.992 0.401
Hf2 0.223 0.008 0.599
Hf3 0.158 0.299 0.401
Hf4 0.299 0.158 0.901
Hf5 0.701 0.842 0.099
Hf6 0.842 0.701 0.599
Hf7 0.008 0.223 0.099
Hf8 0.992 0.777 0.901

=====

The following is a GGA-PBE calculation of a relaxed structure of KZrOs, from the Open Quantum Materials Database.

Space group   F-43m (216)
Relative energy among the computed polymorphs   1200 meV per atom

Unit cell a=4.600 b=4.600 c=4.600 alpha=60.00 beta=60.00 gamma=60.00
Sites, in units of the cell vectors:
K1 0.000 0.000 0.000
Zr1 0.750 0.750 0.750
Os1 0.250 0.250 0.250

=====

The following is a GGA-PBE calculation of a relaxed structure of YBeNb, from the Open Quantum Materials Database.

Space group   F-43m (216)
Relative energy among the computed polymorphs   0 meV per atom

Unit cell a=4.550 b=4.550 c=4.550 alpha=60.00 beta=60.00 gamma=60.00
Sites, in units of the cell vectors:
Be1 0.250 0.250 0.250
Y1 0.750 0.750 0.750
Nb1 0.000 0.000 0.000

=====

The following is a GGA-PBE calculation of a relaxed structure of MgTaFeSn, from the Open Quantum Materials Database.

Space group   F-43m (216)
Relative energy among the computed polymorphs   208 meV per atom

Unit cell a=4.631 b=4.631 c=4.631 alpha=60.00 beta=60.00 gamma=60.00
Sites, in units of the cell vectors:
Sn1 0.000 0.000 0.000
Fe1 0.750 0.750 0.750
Mg1 0.500 0.500 0.500
Ta1 0.250 0.250 0.250